Record 1
Entry from Alexandria via LeMat-Bulk: a relaxed structure of NaPaHO4 (PBE).

a b c (Å): 5.345 7.281 7.281
angles (deg): 60.25 68.46 68.46
Element x y z (fractional)
Na 0.500 0.000 0.500
Na 0.000 0.000 0.500
Pa 0.000 0.000 0.000
Pa 0.000 0.500 0.500
H 0.504 0.746 0.246
H 0.496 0.254 0.754
O 0.832 0.693 0.644
O 0.168 0.856 0.807
O 0.832 0.144 0.193
O 0.168 0.307 0.356
O 0.270 0.750 0.250
O 0.731 0.750 0.250
O 0.269 0.250 0.750
O 0.730 0.250 0.750

Computed properties:
* crystal system: orthorhombic
* space group: Imma
* final energy: -6.98 eV per atom

---

Record 2
Entry from Alexandria via LeMat-Bulk: a relaxed structure of NaH2PbO (PBE).

a b c (Å): 4.187 4.187 4.152
angles (deg): 90.00 90.00 90.00
Element x y z (fractional)
Pb 0.500 0.500 0.500
Na 0.000 0.000 0.500
O 0.000 0.000 0.000
H 0.000 0.500 0.000
H 0.500 0.000 0.000

Computed properties:
* crystal system: tetragonal
* space group: P4/mmm
* final energy: -2.76 eV per atom

---

Record 3
Entry from Alexandria via LeMat-Bulk: a relaxed structure of NaHPb2O (PBE).

a b c (Å): 4.777 6.263 4.777
angles (deg): 90.00 90.00 90.00
Element x y z (fractional)
Pb 0.000 0.000 0.500
Pb 0.500 0.000 0.000
Na 0.500 0.500 0.500
O 0.000 0.000 0.000
H 0.000 0.500 0.000

Computed properties:
* crystal system: tetragonal
* space group: P4/mmm
* final energy: -3.21 eV per atom

---

Record 4
Entry from Alexandria via LeMat-Bulk: a relaxed structure of Na4PuH7O9 (PBE).

a b c (Å): 6.014 8.142 10.961
angles (deg): 103.49 101.03 107.44
Last column: magnetic moment on the atom in μB.
Element x y z (fractional)
Na 0.790 0.535 0.584  0.00
Na 0.210 0.465 0.416  0.00
Na 0.948 0.663 0.923  0.00
Na 0.052 0.337 0.077  0.00
Na 0.472 0.276 0.907  0.00
Na 0.528 0.724 0.093  0.00
Na 0.391 0.143 0.579  0.00
Na 0.609 0.857 0.421  0.00
Pu 0.365 0.586 0.751  1.34
Pu 0.635 0.414 0.249  1.34
H 0.593 0.829 0.629  0.00
H 0.407 0.171 0.371  0.00
H 0.071 0.355 0.854  0.00
H 0.929 0.645 0.146  0.00
H 0.857 0.182 0.622  0.00
H 0.143 0.818 0.378  0.00
H 0.754 0.113 0.786  0.00
H 0.246 0.887 0.214  0.00
H 0.705 0.009 0.891  0.00
H 0.295 0.991 0.109  0.00
H 0.169 0.925 0.734  0.00
H 0.831 0.075 0.266  0.00
H 0.009 0.040 0.692  0.00
H 0.991 0.960 0.308  0.00
O 0.151 0.720 0.757  -0.07
O 0.849 0.280 0.243  -0.07
O 0.611 0.774 0.893  -0.07
O 0.389 0.226 0.107  -0.07
O 0.575 0.447 0.747  -0.07
O 0.425 0.553 0.253  -0.07
O 0.118 0.395 0.610  -0.07
O 0.882 0.605 0.390  -0.07
O 0.516 0.696 0.597  -0.02
O 0.484 0.304 0.403  -0.02
O 0.210 0.465 0.906  -0.02
O 0.790 0.535 0.094  -0.02
O 0.752 0.075 0.638  0.00
O 0.248 0.925 0.362  0.00
O 0.755 0.132 0.883  0.00
O 0.245 0.868 0.117  0.00
O 0.181 0.044 0.722  0.00
O 0.819 0.956 0.278  0.00

Computed properties:
* crystal system: triclinic
* space group: P-1
* final energy: -5.74 eV per atom

---

Record 5
Entry from Alexandria via LeMat-Bulk: a relaxed structure of Na2PuH2O6 (PBE).

a b c (Å): 5.130 5.130 5.373
angles (deg): 90.00 90.00 120.00
Last column: magnetic moment on the atom in μB.
Element x y z (fractional)
Na 0.667 0.333 0.624  0.00
Na 0.333 0.667 0.376  0.00
Pu 0.000 0.000 0.000  -0.14
H 0.333 0.667 0.814  0.00
H 0.667 0.333 0.186  0.00
O 0.106 0.357 0.788  0.01
O 0.643 0.749 0.788  0.01
O 0.251 0.894 0.788  0.01
O 0.894 0.643 0.212  0.01
O 0.357 0.251 0.212  0.01
O 0.749 0.106 0.212  0.01

Computed properties:
* crystal system: trigonal
* space group: P-3
* final energy: -6.28 eV per atom

---

Record 6
Entry from Alexandria via LeMat-Bulk: a relaxed structure of Na2PuHO4 (PBE).

a b c (Å): 3.583 5.939 4.968
angles (deg): 88.63 90.00 90.00
Last column: magnetic moment on the atom in μB.
Element x y z (fractional)
Na 0.000 0.000 0.000  0.00
Na 0.500 0.000 0.500  0.00
Pu 0.000 0.500 0.500  3.35
H 0.500 0.500 0.000  0.00
O 0.000 0.795 0.649  -0.11
O 0.000 0.205 0.351  -0.11
O 0.500 0.608 0.217  -0.07
O 0.500 0.392 0.783  -0.07

Computed properties:
* crystal system: monoclinic
* space group: P2/m
* final energy: -6.98 eV per atom

---

Repeat the fifth record exactly.
Entry from Alexandria via LeMat-Bulk: a relaxed structure of Na2PuH2O6 (PBE).

a b c (Å): 5.130 5.130 5.373
angles (deg): 90.00 90.00 120.00
Last column: magnetic moment on the atom in μB.
Element x y z (fractional)
Na 0.667 0.333 0.624  0.00
Na 0.333 0.667 0.376  0.00
Pu 0.000 0.000 0.000  -0.14
H 0.333 0.667 0.814  0.00
H 0.667 0.333 0.186  0.00
O 0.106 0.357 0.788  0.01
O 0.643 0.749 0.788  0.01
O 0.251 0.894 0.788  0.01
O 0.894 0.643 0.212  0.01
O 0.357 0.251 0.212  0.01
O 0.749 0.106 0.212  0.01

Computed properties:
* crystal system: trigonal
* space group: P-3
* final energy: -6.28 eV per atom